i.
This record from Alexandria describes a relaxed structure of K2OsBr. The functional is GGA-PBEsol.

Results
V in Å³/f.u.: 126

Cell lengths 5.6506, 5.6506, 5.6506 Å; angles 120.62, 120.62, 88.94 degrees
Sites, in units of the cell vectors:
K 0.2500 0.7500 0.5000
K 0.7500 0.2500 0.5000
Os 0.0000 0.0000 0.0000
Br 0.5000 0.5000 0.0000

ii.
This record from Alexandria describes a relaxed structure of K2OsBr. The functional is GGA-PBEsol.

Results
V in Å³/f.u.: 149

Cell lengths 4.6747, 4.6747, 6.8037 Å; angles 90.00, 90.00, 90.00 degrees
Sites, in units of the cell vectors:
K 0.0000 0.0000 0.0000
K 0.5000 0.5000 0.5000
Os 0.0000 0.0000 0.5000
Br 0.5000 0.5000 0.0000

The structure with the least stability is ii.

i.
This record from Alexandria describes a relaxed structure of KP2Br. The functional is GGA-PBEsol.

Results
V in Å³/f.u.: 134

Cell lengths 4.7639, 4.7763, 5.9085 Å; angles 90.00, 90.00, 90.00 degrees
Sites, in units of the cell vectors:
K 0.0000 0.0000 0.0000
P 0.5000 0.5000 0.1637
P 0.5000 0.5000 0.8363
Br 0.0000 0.0000 0.5000

ii.
This record from Alexandria describes a relaxed structure of KP2Br. The functional is GGA-PBEsol.

Results
V in Å³/f.u.: 125

Cell lengths 4.3792, 6.1865, 4.6022 Å; angles 90.00, 90.62, 90.00 degrees
Sites, in units of the cell vectors:
K 0.0000 0.0000 0.0000
P 0.3874 0.5000 0.8188
P 0.6126 0.5000 0.1812
Br 0.5000 0.0000 0.5000

iii.
This record from Alexandria describes a relaxed structure of KP2Br. The functional is GGA-PBEsol.

Results
V in Å³/f.u.: 92

Cell lengths 8.2545, 8.2545, 8.2545 Å; angles 25.58, 25.58, 25.58 degrees
Sites, in units of the cell vectors:
K 0.0000 0.0000 0.0000
P 0.4857 0.4857 0.4857
P 0.7717 0.7717 0.7717
Br 0.2408 0.2408 0.2408

The structure with the least stability is i.

i.
This record from Alexandria describes a relaxed structure of K2PbBr. The functional is GGA-PBEsol.

Results
V in Å³/f.u.: 142

Cell lengths 10.4261, 10.4261, 10.4261 Å; angles 22.17, 22.17, 22.17 degrees
Sites, in units of the cell vectors:
K 0.2371 0.2371 0.2371
K 0.7629 0.7629 0.7629
Pb 0.0000 0.0000 0.0000
Br 0.5000 0.5000 0.5000

ii.
This record from Alexandria describes a relaxed structure of K2PbBr. The functional is GGA-PBEsol.

Results
V in Å³/f.u.: 139

Cell lengths 3.5082, 6.2360, 6.3380 Å; angles 90.00, 90.00, 90.00 degrees
Sites, in units of the cell vectors:
K 0.0000 0.0000 0.0000
K 0.0000 0.5000 0.4652
Pb 0.5000 0.5000 0.9615
Br 0.5000 0.0000 0.4560

The structure with the least stability is ii.